A plane-wave DFT calculation with PBE was carried out for a geometry-optimized Pm2SmDy2Er2 structure.

Unit cell a=3.522 b=6.113 c=11.832 alpha=71.60 beta=90.00 gamma=106.75
Fractional positions:
Pm 0.670 0.341 0.917
Pm 0.330 0.659 0.083
Sm 0.000 0.000 0.500
Dy 0.449 0.899 0.771
Dy 0.551 0.101 0.229
Er 0.775 0.550 0.363
Er 0.225 0.450 0.637

Fermi-level density of states: 11.954 states/eV per cell
Formation energy from the elements: 59 kJ/mol of formula units
Crystal system: monoclinic
Total energy: -0.335 Ry/atom